Ta4Co3: PBEsol geometry, SCAN.

## Properties
The value obtained for the electronic total energy is -319.00 eV per cell. The calculation puts the formation energy at -108.3 meV/atom. The space group is P6/mmm (191).

Cell: 4.8342 4.8342 4.8937 Å, 90.00 90.00 120.00°
Fractional coordinates of all 7 atoms:
Ta  0.0000  0.0000  0.7517
Ta  0.0000  0.0000  0.2483
Ta  0.3333  0.6667  0.5000
Ta  0.6667  0.3333  0.5000
Co  0.0000  0.5000  0.0000
Co  0.5000  0.0000  0.0000
Co  0.5000  0.5000  0.0000